i | ! LiMoPO5 (GGA-PBEsol, optimized geometry); values from VASP
! SG = P-1 (2)
&SYSTEM
  ibrav = 0, nat = 32, ntyp = 4
/
ATOMIC_SPECIES
O 16.00 O.upf
Li 6.94 Li.upf
Mo 95.94 Mo.upf
P 30.97 P.upf
CELL_PARAMETERS angstrom
-4.795 -4.454 -2.596
-0.838 -6.275 3.500
-5.802 3.196 4.394
ATOMIC_POSITIONS angstrom
O -6.894 -4.311 1.693
O -3.171 -1.662 1.645
O -4.548 -3.922 0.831
O -4.512 -7.584 2.499
O -6.408 -7.421 1.007
O -4.093 -6.944 0.056
O -6.409 -3.736 -0.730
O -7.342 -0.589 5.243
O -6.887 -3.611 4.468
O -6.923 0.052 2.799
O -8.264 -5.871 3.654
O -5.026 -3.796 6.028
O -4.541 -3.222 3.605
O -2.881 -5.310 2.626
O -10.571 -6.133 5.065
O -8.554 -2.223 2.672
O -6.151 -1.950 1.047
O -0.864 -1.400 0.233
O -5.026 -0.112 4.291
O -5.284 -5.582 4.252
Li -6.978 -2.447 6.124
Li -4.940 -0.847 2.375
Li -6.495 -6.686 2.923
Li -4.457 -5.086 -0.825
Mo -3.079 -3.448 2.227
Mo -7.974 -0.946 1.360
Mo -8.355 -4.084 3.071
Mo -3.461 -6.587 3.938
P -6.528 0.291 4.264
P -5.410 -4.053 4.566
P -4.907 -7.824 1.034
P -6.025 -3.480 0.732

ii | ! LiMoPO5 (GGA-PBEsol, optimized geometry); values from VASP
! SG = Pnma (62)
&SYSTEM
  ibrav = 0, nat = 32, ntyp = 4
/
ATOMIC_SPECIES
O 16.00 O.upf
Mo 95.94 Mo.upf
Li 6.94 Li.upf
P 30.97 P.upf
CELL_PARAMETERS angstrom
6.548 0.000 0.000
0.000 7.333 0.000
0.000 0.000 7.381
ATOMIC_POSITIONS angstrom
O 4.911 4.443 5.017
O 4.911 5.888 0.098
O 4.911 3.332 0.155
O 3.680 4.635 1.927
O 1.637 6.557 1.327
O 1.637 1.445 7.283
O 1.637 4.001 7.226
O 6.142 0.968 1.764
O 0.406 6.365 5.618
O 2.868 2.698 5.454
O 1.637 5.112 3.789
O 2.868 6.365 5.618
O 4.911 2.221 3.592
O 4.911 6.998 3.536
O 6.142 4.635 1.927
O 3.680 0.968 1.764
O 1.637 0.335 3.845
O 4.911 0.776 6.055
O 1.637 2.890 2.364
O 0.406 2.698 5.454
Mo 1.637 1.033 1.985
Mo 4.911 6.300 5.396
Mo 4.911 2.634 5.675
Mo 1.637 4.699 1.706
Li 3.274 0.000 0.000
Li 0.000 3.666 3.691
Li 0.000 0.000 0.000
Li 3.274 3.666 3.691
P 1.637 2.715 6.384
P 4.911 0.951 2.694
P 4.911 4.618 0.997
P 1.637 6.382 4.687

Short version: i is the most stable of them.

i | ! LiMo2P3O12 (GGA-PBEsol, optimized geometry); values from VASP
! SG = C2 (5)
&SYSTEM
  ibrav = 0, nat = 36, ntyp = 4
/
ATOMIC_SPECIES
P 30.97 P.upf
O 16.00 O.upf
Mo 95.94 Mo.upf
Li 6.94 Li.upf
CELL_PARAMETERS angstrom
-1.109 -7.958 3.327
6.771 -4.267 3.403
0.501 -1.246 8.525
ATOMIC_POSITIONS angstrom
P 3.307 -5.211 10.910
P 1.399 -5.357 6.644
P 3.048 -8.918 8.595
P 6.672 -5.053 7.663
P -0.819 -7.823 3.330
P 4.449 -7.514 4.361
O 0.991 -9.738 12.340
O 6.329 -6.476 8.155
O 3.348 -3.831 10.212
O 2.650 -8.995 7.119
O 5.294 -8.475 11.421
O 1.061 -5.624 8.113
O 2.710 -4.531 6.661
O 1.531 -6.654 5.844
O 4.245 -6.121 10.110
O 0.309 -4.520 5.937
O 6.033 -3.973 4.528
O 4.522 -8.440 8.605
O 6.088 -12.112 12.114
O 5.525 -8.371 5.070
O 3.221 -3.894 3.857
O 5.368 -4.403 7.154
O 1.347 -4.467 2.362
O -0.488 -6.385 2.861
O 2.982 -10.296 9.290
O 2.124 -7.993 9.387
O 7.043 -6.259 10.795
O 3.631 -9.559 12.882
O 0.946 -0.951 3.150
O 4.338 -6.217 5.170
Mo 1.543 -8.607 5.534
Mo 5.732 -7.383 9.834
Mo 4.315 -4.269 5.460
Mo 0.626 -6.736 9.682
Li 6.124 -8.697 7.205
Li 3.515 -3.145 8.084

ii | ! LiMo2P3O12 (GGA-PBEsol, optimized geometry); values from VASP
! SG = Pbcm (57)
&SYSTEM
  ibrav = 0, nat = 72, ntyp = 4
/
ATOMIC_SPECIES
O 16.00 O.upf
P 30.97 P.upf
Li 6.94 Li.upf
Mo 95.94 Mo.upf
CELL_PARAMETERS angstrom
-3.587 -7.697 -2.650
8.036 -4.076 0.961
-2.765 -2.712 11.620
ATOMIC_POSITIONS angstrom
O 2.377 -8.767 3.436
O 4.363 -9.494 2.050
O 1.573 -10.016 -1.121
O 4.068 -10.521 4.215
O 0.852 -8.159 9.618
O -0.708 -4.728 3.644
O -0.693 -5.717 6.495
O 0.969 -13.288 9.197
O -2.384 -3.963 5.716
O 0.215 -9.047 5.148
O 5.034 -5.504 5.236
O 0.015 -4.019 0.605
O -2.678 -4.991 7.881
O 1.133 -3.466 6.759
O 2.999 -12.124 7.567
O 0.111 -4.468 11.051
O -0.845 -10.087 9.602
O 5.128 -9.482 -0.240
O -3.350 -8.980 4.695
O -1.315 -2.360 2.364
O -0.306 -2.199 5.026
O 3.101 -8.058 0.396
O 1.471 -5.038 2.402
O 2.392 -9.756 6.287
O 1.669 -10.466 9.326
O 1.553 -7.471 6.672
O 0.131 -7.013 3.259
O -3.647 -7.154 8.782
O 2.530 -4.398 0.328
O 0.832 -6.326 0.313
O 0.715 -1.197 0.734
O -0.727 -8.253 -0.967
O 4.631 -8.018 4.095
O 1.470 -5.437 4.783
O 1.061 -5.622 8.623
O 1.991 -12.286 4.905
O -2.946 -6.466 5.836
O 0.623 -8.862 1.307
O 0.213 -9.446 7.529
O 5.932 -4.624 1.465
O 3.309 -5.351 7.126
O -3.444 -5.003 10.171
O -1.416 -6.427 9.535
O 2.412 -6.231 10.898
O -1.625 -9.133 2.804
O -4.247 -9.861 8.466
O 0.551 -11.018 3.172
O 5.332 -7.330 1.149
P 1.148 -8.890 6.347
P 4.493 -8.529 0.772
P -2.844 -9.823 3.486
P 0.536 -5.595 3.584
P 1.194 -4.950 0.822
P -2.152 -5.311 6.397
P 3.836 -9.174 3.534
P -2.809 -5.955 9.159
P 0.491 -9.535 9.109
P 5.911 -3.306 0.635
P 4.529 -4.662 6.445
P -1.462 -8.467 -2.324
Li -1.441 -8.529 0.894
Li 5.195 -4.948 3.309
Li -3.511 -9.536 6.622
Li 3.125 -5.956 9.037
Mo 1.277 -5.470 6.782
Mo -1.796 -3.083 4.009
Mo 1.234 -8.204 -0.322
Mo -0.970 -2.273 0.538
Mo 0.451 -6.280 10.253
Mo 0.408 -9.015 3.149
Mo 2.654 -12.212 9.393
Mo 3.480 -11.401 5.922

Short version: i is the most stable of them.